# TiVP | the Alexandria database | PBE | optimized geometry
# density = 4.87 g/cm3
# calculated volume = 14.75 Å³/atom
# magnetic moment = 0.468 μB per cell
# ΔE_f = -0.364 eV per atom
data_TiVP
_chemical_formula_sum 'Ti1 V1 P1'
_symmetry_space_group_name_H-M 'P 3 m 1'
_symmetry_Int_Tables_number 156
_cell_length_a 3.9966
_cell_length_b 3.9966
_cell_length_c 3.1991
_cell_angle_alpha 90.00
_cell_angle_beta 90.00
_cell_angle_gamma 120.00
loop_
_symmetry_equiv_pos_as_xyz
'x,y,z'
'-y,x-y,z'
'-x+y,-x,z'
'-y,-x,z'
'-x+y,y,z'
'x,x-y,z'
loop_
_atom_site_label
_atom_site_fract_x
_atom_site_fract_y
_atom_site_fract_z
Ti1 0.0000 0.0000 0.0000
V1 0.3333 0.6667 0.5621
P1 0.6667 0.3333 0.5786



# TiV2P | the Alexandria database | PBE | optimized geometry
# density = 5.42 g/cm3
# calculated volume = 13.84 Å³/atom
# magnetic moment = 0.000 μB per cell
# ΔE_f = -0.761 eV per atom
data_TiV2P
_chemical_formula_sum 'Ti4 V8 P4'
_symmetry_space_group_name_H-M 'C m c m'
_symmetry_Int_Tables_number 63
_symmetry_space_group_name_Hall '-C 2c 2'
_cell_length_a 3.2780
_cell_length_b 9.1195
_cell_length_c 7.4056
_cell_angle_alpha 90.00
_cell_angle_beta 90.00
_cell_angle_gamma 90.00
loop_
_atom_site_label
_atom_site_fract_x
_atom_site_fract_y
_atom_site_fract_z
Ti1 0.0000 0.0416 0.2500
V1 0.0000 0.3528 0.0523
P1 0.0000 0.2460 0.7500



# TiVP | the Alexandria database | PBE | optimized geometry
# density = 5.25 g/cm3
# calculated volume = 13.68 Å³/atom
# magnetic moment = 0.000 μB per cell
# ΔE_f = -1.025 eV per atom
data_TiVP
_chemical_formula_sum 'Ti2 V2 P2'
_symmetry_space_group_name_H-M 'P m m n'
_symmetry_Int_Tables_number 59
_cell_length_a 3.3880
_cell_length_b 3.6077
_cell_length_c 6.7153
_cell_angle_alpha 90.00
_cell_angle_beta 90.00
_cell_angle_gamma 90.00
loop_
_symmetry_equiv_pos_as_xyz
'x,y,z'
'-x,-y,-z'
'-x+1/2,-y+1/2,z'
'x+1/2,y+1/2,-z'
'x+1/2,-y,-z'
'-x+1/2,y,z'
'-x,y+1/2,-z'
'x,-y+1/2,z'
loop_
_atom_site_label
_atom_site_fract_x
_atom_site_fract_y
_atom_site_fract_z
Ti1 0.2500 0.2500 0.1409
V1 0.2500 0.7500 0.5040
P1 0.2500 0.2500 0.7635



# Ti3VP | the Alexandria database | PBE | optimized geometry
# density = 4.03 g/cm3
# calculated volume = 18.60 Å³/atom
# offset from the most stable computed form = 2.35 eV per formula unit
# magnetic moment = 2.313 μB per cell
# ΔE_f = 0.038 eV per atom
data_Ti3VP
_chemical_formula_sum 'Ti3 V1 P1'
_symmetry_space_group_name_H-M 'P m -3 m'
_symmetry_Int_Tables_number 221
_symmetry_space_group_name_Hall '-P 4 2 3'
_cell_length_a 4.5310
_cell_length_b 4.5310
_cell_length_c 4.5310
_cell_angle_alpha 90.00
_cell_angle_beta 90.00
_cell_angle_gamma 90.00
loop_
_atom_site_label
_atom_site_fract_x
_atom_site_fract_y
_atom_site_fract_z
Ti1 0.0000 0.0000 0.5000
V1 0.5000 0.5000 0.5000
P1 0.0000 0.0000 0.0000



# TiVP | the Alexandria database | PBE | optimized geometry
# density = 5.14 g/cm3
# calculated volume = 13.98 Å³/atom
# magnetic moment = 0.000 μB per cell
# ΔE_f = -0.827 eV per atom
data_TiVP
_chemical_formula_sum 'Ti4 V4 P4'
_symmetry_space_group_name_H-M 'C 1 m 1'
_symmetry_Int_Tables_number 8
_cell_length_a 9.7083
_cell_length_b 3.4287
_cell_length_c 5.0407
_cell_angle_alpha 90.00
_cell_angle_beta 91.30
_cell_angle_gamma 90.00
loop_
_symmetry_equiv_pos_as_xyz
'x,y,z'
'x,-y,z'
'x+1/2,y+1/2,z'
'x+1/2,-y+1/2,z'
loop_
_atom_site_label
_atom_site_fract_x
_atom_site_fract_y
_atom_site_fract_z
Ti1 0.0000 0.0000 0.0000
Ti2 0.2019 0.5000 0.2638
V1 0.1974 0.5000 0.7588
V2 0.3989 0.0000 0.5131
P1 0.0685 0.0000 0.5069
P2 0.3231 0.0000 0.0034